(1)
# LiNiSe2 | the Alexandria database | SCAN | PBEsol geometry
data_LiNiSe2
_symmetry_space_group_name_H-M 'P 4/m m m'
_symmetry_Int_Tables_number 123
_symmetry_space_group_name_Hall '-P 4 2'
_cell_length_a 4.600
_cell_length_b 4.600
_cell_length_c 2.806
_cell_angle_alpha 90.00
_cell_angle_beta 90.00
_cell_angle_gamma 90.00
loop_
_atom_site_label
_atom_site_fract_x
_atom_site_fract_y
_atom_site_fract_z
_atom_site_occupancy
Li1 0.000 0.000 0.000 1
Ni1 0.500 0.500 0.000 1
Se1 0.000 0.500 0.500 1
# Crystal system: tetragonal
# ΔE_f (raw), eV per atom: -0.263

(2)
# InBi | the Alexandria database | SCAN | PBEsol geometry
data_InBi
_symmetry_space_group_name_H-M 'P 4/n m m'
_symmetry_Int_Tables_number 129
_cell_length_a 4.883
_cell_length_b 4.883
_cell_length_c 4.883
_cell_angle_alpha 90.00
_cell_angle_beta 90.00
_cell_angle_gamma 90.00
loop_
_symmetry_equiv_pos_as_xyz
'x,y,z'
'-x,-y,-z'
'-y+1/2,x,z'
'y+1/2,-x,-z'
'-x+1/2,-y+1/2,z'
'x+1/2,y+1/2,-z'
'y,-x+1/2,z'
'-y,x+1/2,-z'
'x+1/2,-y,-z'
'-x+1/2,y,z'
'-y,-x,-z'
'y,x,z'
'-x,y+1/2,-z'
'x,-y+1/2,z'
'y+1/2,x+1/2,-z'
'-y+1/2,-x+1/2,z'
loop_
_atom_site_label
_atom_site_fract_x
_atom_site_fract_y
_atom_site_fract_z
_atom_site_occupancy
In1 0.250 0.750 0.000 1
Bi1 0.250 0.250 0.399 1
# Calculated formation energy, eV per atom: 0.023
# Crystal system: tetragonal

(3)
# NdSiRu | the Alexandria database | SCAN | PBEsol geometry
data_NdSiRu
_symmetry_space_group_name_H-M 'P 4/n m m'
_symmetry_Int_Tables_number 129
_cell_length_a 4.173
_cell_length_b 4.173
_cell_length_c 6.857
_cell_angle_alpha 90.00
_cell_angle_beta 90.00
_cell_angle_gamma 90.00
loop_
_symmetry_equiv_pos_as_xyz
'x,y,z'
'-x,-y,-z'
'-y+1/2,x,z'
'y+1/2,-x,-z'
'-x+1/2,-y+1/2,z'
'x+1/2,y+1/2,-z'
'y,-x+1/2,z'
'-y,x+1/2,-z'
'x+1/2,-y,-z'
'-x+1/2,y,z'
'-y,-x,-z'
'y,x,z'
'-x,y+1/2,-z'
'x,-y+1/2,z'
'y+1/2,x+1/2,-z'
'-y+1/2,-x+1/2,z'
loop_
_atom_site_label
_atom_site_fract_x
_atom_site_fract_y
_atom_site_fract_z
_atom_site_occupancy
Nd1 0.250 0.250 0.177 1
Si1 0.250 0.250 0.676 1
Ru1 0.250 0.750 0.500 1
# Crystal system: tetragonal
# ΔE_f (raw), eV per atom: -0.860

(4)
# MgInSb2 | the Alexandria database | SCAN | PBEsol geometry
data_MgInSb2
_symmetry_space_group_name_H-M 'P 4 m m'
_symmetry_Int_Tables_number 99
_cell_length_a 4.211
_cell_length_b 4.211
_cell_length_c 5.963
_cell_angle_alpha 90.00
_cell_angle_beta 90.00
_cell_angle_gamma 90.00
loop_
_symmetry_equiv_pos_as_xyz
'x,y,z'
'-y,x,z'
'-x,-y,z'
'y,-x,z'
'-x,y,z'
'y,x,z'
'x,-y,z'
'-y,-x,z'
loop_
_atom_site_label
_atom_site_fract_x
_atom_site_fract_y
_atom_site_fract_z
_atom_site_occupancy
Mg1 0.000 0.000 0.000 1
In1 0.500 0.500 0.531 1
Sb1 0.000 0.000 0.499 1
Sb2 0.500 0.500 0.026 1
# Crystal system: tetragonal
# Relative energy among the computed polymorphs, meV/atom: 42
# ΔE_f (raw), eV per atom: -0.076

(5)
# Ti2VOs | the Alexandria database | SCAN | PBEsol geometry
data_Ti2VOs
_symmetry_space_group_name_H-M 'F m -3 m'
_symmetry_Int_Tables_number 225
_symmetry_space_group_name_Hall '-F 4 2 3'
_cell_length_a 6.141
_cell_length_b 6.141
_cell_length_c 6.141
_cell_angle_alpha 90.00
_cell_angle_beta 90.00
_cell_angle_gamma 90.00
loop_
_atom_site_label
_atom_site_fract_x
_atom_site_fract_y
_atom_site_fract_z
_atom_site_occupancy
Ti1 0.250 0.250 0.250 1
V1 0.000 0.000 0.000 1
Os1 0.000 0.000 0.500 1
# Calculated formation energy, eV per atom: -0.546
# Crystal system: cubic

(6)
# KCoNi2 | the Alexandria database | SCAN | PBEsol geometry
data_KCoNi2
_symmetry_space_group_name_H-M 'C 1 m 1'
_symmetry_Int_Tables_number 8
_cell_length_a 8.026
_cell_length_b 2.574
_cell_length_c 6.577
_cell_angle_alpha 90.00
_cell_angle_beta 94.85
_cell_angle_gamma 90.00
loop_
_symmetry_equiv_pos_as_xyz
'x,y,z'
'x,-y,z'
'x+1/2,y+1/2,z'
'x+1/2,-y+1/2,z'
loop_
_atom_site_label
_atom_site_fract_x
_atom_site_fract_y
_atom_site_fract_z
_atom_site_occupancy
K1 0.000 0.000 0.000 1
Co1 0.274 0.500 0.372 1
Ni1 0.004 0.500 0.494 1
Ni2 0.230 0.000 0.653 1
# Calculated formation energy, eV per atom: 0.627
# Crystal system: monoclinic
# Relative energy among the computed polymorphs, meV/atom: 65

(7)
# K2CrAs | the Alexandria database | SCAN | PBEsol geometry
data_K2CrAs
_symmetry_space_group_name_H-M 'A m m 2'
_symmetry_Int_Tables_number 38
_cell_length_a 4.642
_cell_length_b 5.448
_cell_length_c 10.937
_cell_angle_alpha 90.00
_cell_angle_beta 90.00
_cell_angle_gamma 90.00
loop_
_symmetry_equiv_pos_as_xyz
'x,y,z'
'-x,-y,z'
'-x,y,z'
'x,-y,z'
'x,y+1/2,z+1/2'
'-x,-y+1/2,z+1/2'
'-x,y+1/2,z+1/2'
'x,-y+1/2,z+1/2'
loop_
_atom_site_label
_atom_site_fract_x
_atom_site_fract_y
_atom_site_fract_z
_atom_site_occupancy
K1 0.000 0.000 0.000 1
K2 0.500 0.000 0.308 1
Cr1 0.500 0.000 0.631 1
As1 0.000 0.000 0.686 1
# Calculated formation energy, eV per atom: -0.205
# Crystal system: orthorhombic

(8)
# YErMg2 | the Alexandria database | SCAN | PBEsol geometry
data_YErMg2
_symmetry_space_group_name_H-M 'F m -3 m'
_symmetry_Int_Tables_number 225
_symmetry_space_group_name_Hall '-F 4 2 3'
_cell_length_a 7.471
_cell_length_b 7.471
_cell_length_c 7.471
_cell_angle_alpha 90.00
_cell_angle_beta 90.00
_cell_angle_gamma 90.00
loop_
_atom_site_label
_atom_site_fract_x
_atom_site_fract_y
_atom_site_fract_z
_atom_site_occupancy
Y1 0.000 0.000 0.000 1
Er1 0.000 0.000 0.500 1
Mg1 0.250 0.250 0.250 1
# Calculated formation energy, eV per atom: -0.086
# Crystal system: cubic

| no. | E (eV/atom) | D(E_F) (states/eV/atom) |
| --- | --- | --- |
| 1 | -14.94 | 0.259 |
| 2 | -55.96 | 0.257 |
| 3 | -30.33 | 0.725 |
| 4 | -28.30 | 0.587 |
| 5 | -30.90 | 0.733 |
| 6 | -13.87 | 0.877 |
| 7 | -14.01 | 0.187 |
| 8 | -22.12 | 1.303 |